A relaxed DyMgSnHg crystal, computed with GGA-PBE.

POSCAR file:
```
DyMgSnHg
1.0
5.1691 0.0000 0.0000
2.5845 4.4766 0.0000
2.5845 1.4922 4.2205
Dy Hg Mg Sn
1 1 1 1
direct
0.7500 0.7500 0.7500 Dy
0.0000 0.0000 0.0000 Hg
0.2500 0.2500 0.2500 Mg
0.5000 0.5000 0.5000 Sn
```

Polymorph energy (0 for the lowest one)   88.8 meV/atom
VASP energy   -12.02 eV per cell
Total magnetic moment   0.00 μB per atom

=====

A relaxed DyMgSnHg crystal, computed with GGA-PBE.

POSCAR file:
```
DyMgSnHg
1.0
4.2627 0.0000 0.0000
0.0000 4.6168 0.0000
0.0000 0.0000 4.8921
Hg Sn Dy Mg
1 1 1 1
direct
0.0000 0.5000 0.5000 Hg
0.0000 0.0000 0.0000 Sn
0.5000 0.5000 0.0000 Dy
0.5000 0.0000 0.5000 Mg
```

Polymorph energy (0 for the lowest one)   0.0 meV/atom
VASP energy   -12.38 eV per cell
Total magnetic moment   0.00 μB per atom

=====

A relaxed SrDyMg2Hg4 crystal, computed with GGA-PBE.

POSCAR file:
```
SrDyMg2Hg4
1.0
-1.8748 4.7682 -0.1433
-3.5689 1.2476 -3.4608
-8.0502 -0.2780 4.4058
Dy Hg Sr Mg
1 4 1 2
direct
0.5000 0.5000 0.5000 Dy
0.3818 0.3818 0.8545 Hg
0.6182 0.6182 0.1455 Hg
0.1271 0.1271 0.6187 Hg
0.8729 0.8729 0.3813 Hg
0.0000 0.0000 0.0000 Sr
0.2463 0.2463 0.2612 Mg
0.7537 0.7537 0.7388 Mg
```

VASP energy   -14.04 eV per cell
Total magnetic moment   0.00 μB per atom

=====

A relaxed SrDy2MgHg4 crystal, computed with GGA-PBE.

POSCAR file:
```
SrDy2MgHg4
1.0
5.2035 0.0000 0.0000
2.6017 4.5063 0.0000
2.6017 1.5021 8.9001
Hg Dy Sr Mg
4 2 1 1
direct
0.8740 0.8740 0.3780 Hg
0.1260 0.1260 0.6220 Hg
0.3847 0.3847 0.8459 Hg
0.6153 0.6153 0.1541 Hg
0.7574 0.7574 0.7277 Dy
0.2426 0.2426 0.2723 Dy
0.0000 0.0000 0.0000 Sr
0.5000 0.5000 0.5000 Mg
```

VASP energy   -17.09 eV per cell
Total magnetic moment   0.00 μB per atom

=====

Number 1: energy of formation -0.38 eV/atom, ρ 8.6 g/cm³. Number 2: energy of formation -0.47 eV/atom, ρ 8.7 g/cm³. Number 3: energy of formation -0.42 eV/atom, ρ 9.2 g/cm³. Number 4: energy of formation -0.43 eV/atom, ρ 9.9 g/cm³.